Below is a relaxed structure of Tb2Ho6Zn, with properties calculated at the PBE level.

Cell lengths 5.3282, 9.8259, 10.0993 Å; angles 90.00, 89.97, 90.00 degrees
Positions (direct):
1 Ho 0.0000 0.9740 0.8142
2 Ho 0.4998 0.1300 0.6109
3 Ho 0.0002 0.6300 0.8891
4 Ho 0.0004 0.6861 0.5610
5 Ho 0.9996 0.3139 0.4390
6 Ho 0.9998 0.3700 0.1109
7 Ho 0.5004 0.8139 0.0610
8 Ho 0.5000 0.5260 0.3142
9 Ho 0.4996 0.1861 0.9390
10 Ho 0.5002 0.8700 0.3891
11 Ho 0.5000 0.4740 0.6858
12 Ho 0.0000 0.0260 0.1858
13 Tb 0.5002 0.8003 0.7351
14 Tb 0.4998 0.1997 0.2649
15 Tb 0.0002 0.6997 0.2351
16 Tb 0.9998 0.3003 0.7649
17 Zn 0.0000 0.0000 0.5000
18 Zn 0.5000 0.5000 0.0000

Results
Calculated formation energy, meV/atom: 28
Space-group type: Pnnm
DOS(E_F), states/eV/cell: 27.75
Calculated volume, Å³/cell: 528.7